# 1
Below is a relaxed structure of TiZnBi2, with properties calculated at the GGA-PBEsol level.

## Properties
The total energy comes out at -4.24 eV/atom. As for the crystal system: tetragonal.

Lattice parameters (Å, degrees): 7.6534 7.6534 7.6534 130.91 130.91 71.95
Last column: nearest neighbours and their distance in Å.
Sites, in units of the cell vectors:
Ti 0.0000 0.0000 0.0000  4 Bi 2.73
Ti 0.7500 0.2500 0.5000  4 Bi 2.73
Zn 0.2500 0.7500 0.5000  4 Bi 2.73
Zn 0.5000 0.5000 0.0000  4 Bi 2.73
Bi 0.1241 0.6250 0.9991  2 Ti 2.73, 2 Zn 2.73
Bi 0.3750 0.3741 0.4991  2 Ti 2.73, 2 Zn 2.73
Bi 0.6259 0.1250 0.0009  2 Ti 2.73, 2 Zn 2.73
Bi 0.8750 0.8759 0.5009  2 Ti 2.73, 2 Zn 2.73


# 2
Below is a relaxed structure of ZrTi3Bi, with properties calculated at the GGA-PBEsol level.

## Properties
The total energy comes out at -6.71 eV/atom. As for the crystal system: cubic.

Lattice parameters (Å, degrees): 4.8051 4.8051 4.8051 90.00 90.00 90.00
Last column: nearest neighbours and their distance in Å.
Sites, in units of the cell vectors:
Zr 0.0000 0.0000 0.0000  6 Ti 2.40
Ti 0.0000 0.0000 0.5000  2 Zr 2.40
Ti 0.0000 0.5000 0.0000  2 Zr 2.40
Ti 0.5000 0.0000 0.0000  2 Zr 2.40
Bi 0.5000 0.5000 0.5000  12 Ti 3.40


# 3
Below is a relaxed structure of TlBi2, with properties calculated at the GGA-PBEsol level.

## Properties
The total energy comes out at -3.76 eV/atom. As for the crystal system: hexagonal.

Lattice parameters (Å, degrees): 5.5885 5.5885 3.3810 90.00 90.00 120.00
Last column: nearest neighbours and their distance in Å.
Sites, in units of the cell vectors:
Tl 0.0000 0.0000 0.0000  2 Tl 3.38, 12 Bi 3.64
Bi 0.3333 0.6667 0.5000  5 Bi 3.23-3.38
Bi 0.6667 0.3333 0.5000  5 Bi 3.23-3.38


# 4
Below is a relaxed structure of TlBi3, with properties calculated at the GGA-PBEsol level.

## Properties
The total energy comes out at -3.83 eV/atom. As for the crystal system: cubic.

Lattice parameters (Å, degrees): 4.9343 4.9343 4.9343 90.00 90.00 90.00
Last column: nearest neighbours and their distance in Å.
Sites, in units of the cell vectors:
Tl 0.0000 0.0000 0.0000  12 Bi 3.49
Bi 0.0000 0.5000 0.5000  4 Tl 3.49, 8 Bi 3.49
Bi 0.5000 0.0000 0.5000  4 Tl 3.49, 8 Bi 3.49
Bi 0.5000 0.5000 0.0000  4 Tl 3.49, 8 Bi 3.49


# 5
Below is a relaxed structure of TlZnBi3, with properties calculated at the GGA-PBEsol level.

## Properties
The total energy comes out at -2.45 eV/atom. As for the crystal system: cubic.

Lattice parameters (Å, degrees): 5.7780 5.7780 5.7780 90.00 90.00 90.00
Last column: nearest neighbours and their distance in Å.
Sites, in units of the cell vectors:
Tl 0.0000 0.0000 0.0000  6 Bi 2.89
Zn 0.5000 0.5000 0.5000  12 Bi 4.09
Bi 0.0000 0.0000 0.5000  2 Tl 2.89
Bi 0.0000 0.5000 0.0000  2 Tl 2.89
Bi 0.5000 0.0000 0.0000  2 Tl 2.89


# 6
Below is a relaxed structure of Tl2Zn2Bi, with properties calculated at the GGA-PBEsol level.

## Properties
As for the crystal system: tetragonal. As for the distance to the lowest polymorph of the same formula: 0 meV/atom.

Lattice parameters (Å, degrees): 7.2688 7.2688 4.6172 90.00 90.00 90.00
Last column: nearest neighbours and their distance in Å.
Sites, in units of the cell vectors:
Tl 0.1777 0.3223 0.0000  6 Zn 3.10-3.20
Tl 0.3223 0.8223 0.0000  6 Zn 3.10-3.20
Tl 0.6777 0.1777 0.0000  6 Zn 3.10-3.20
Tl 0.8223 0.6777 0.0000  6 Zn 3.10-3.20
Zn 0.1211 0.6211 0.5000  1 Zn 2.49
Zn 0.3789 0.1211 0.5000  1 Zn 2.49
Zn 0.6211 0.8789 0.5000  1 Zn 2.49
Zn 0.8789 0.3789 0.5000  1 Zn 2.49
Bi 0.0000 0.0000 0.5000  4 Zn 2.89
Bi 0.5000 0.5000 0.5000  4 Zn 2.89


Calculated volume (Å³ per atom)
31.30, 22.19, 30.48, 30.03, 38.58, 24.40